PBE with a Hubbard U LiCrF4, optimized geometry; total energy = -5.64 eV/atom
1.0
-3.1070 4.0480 -2.2547
-0.2742 -4.7937 -2.8405
-1.9305 -0.9594 5.1455
Li F Cr
2 8 2
Cartesian
-1.1440 -2.8858 1.0897
-0.8870 -0.1956 -1.3366
-3.7534 0.2258 0.7026
-2.6728 -1.9542 1.9526
-1.5599 -1.9352 -0.6507
-2.4325 -4.2122 0.2616
-1.2263 -4.1695 -2.1931
-2.8775 2.5114 -0.2132
-4.2625 -2.3079 -0.4508
-2.7360 0.2276 -2.0488
-2.4942 -0.5501 -3.7587
-2.7513 -3.2402 -1.3324